8
Lattice="2.437 1.407 14.016 -2.437 1.407 14.016 0.000 -2.814 14.016" Properties=species:S:1:pos:R:3 comment="BaNaSeBr (PBE, relaxed)" de_polymorph_kj_per_mol_atoms=0.00 pbc="T T T"
Ba 0.000 0.000 3.865
Ba 0.000 0.000 38.183
Na 0.000 0.000 13.037
Na 0.000 0.000 29.011
Se 0.000 0.000 16.006
Se 0.000 0.000 26.042
Br 0.000 0.000 8.566
Br 0.000 0.000 33.482

=====

4
Lattice="4.483 0.000 0.000 0.000 4.483 0.000 0.000 0.000 6.418" Properties=species:S:1:pos:R:3 comment="LaMgTe2 (PBE, relaxed)" final_energy_ev_per_atom=-4.317 pbc="T T T"
La 0.000 0.000 0.000
Mg 2.242 2.242 3.204
Te 0.000 0.000 3.208
Te 2.242 2.242 6.417

=====

5
Lattice="5.875 0.000 0.000 0.000 5.875 0.000 0.000 0.000 5.257" Properties=species:S:1:pos:R:3 comment="NaLa2GeSb (PBE, relaxed)" final_energy_ev_per_atom=-4.426 pbc="T T T"
Na 0.000 0.000 0.000
La 0.000 2.937 2.629
La 2.937 0.000 2.629
Ge 0.000 0.000 2.629
Sb 2.937 2.937 0.000